GGA-PBE SrCaPb6, relaxed; final energy = -3.577 eV per atom; DFT formation energy = -0.335 eV per atom; density of states at the Fermi level = 0.413 states/eV per atom; M_tot = 0.00 μB per formula unit
1.0
4.990 0.000 0.000
0.000 4.990 0.000
0.000 0.000 9.947
Pb Ca Sr
6 1 1
Direct
0.500 0.500 0.000
0.500 0.000 0.244
0.500 0.500 0.500
0.500 0.000 0.756
0.000 0.500 0.244
0.000 0.500 0.756
0.000 0.000 0.000
0.000 0.000 0.500

---

GGA-PBE Er2TmAgHg4, relaxed; final energy = -2.599 eV per atom; DFT formation energy = -0.392 eV per atom; density of states at the Fermi level = 0.651 states/eV per atom; M_tot = 0.00 μB per formula unit
1.0
5.079 0.000 0.000
2.540 4.399 0.000
2.540 1.466 8.479
Er Hg Ag Tm
2 4 1 1
Direct
0.757 0.757 0.729
0.243 0.243 0.271
0.877 0.877 0.370
0.628 0.628 0.117
0.372 0.372 0.883
0.123 0.123 0.630
0.500 0.500 0.500
0.000 0.000 0.000

---

GGA-PBE Pm3MnS6, relaxed; final energy = -6.459 eV per atom; energy relative to the elements, uncorrected = -1.640 eV/atom; density of states at the Fermi level = 0.568 states/eV per atom; M_tot = 4.00 μB per formula unit
1.0
6.672 0.000 0.000
0.000 8.659 0.056
0.000 -1.877 8.454
S Pm Mn
12 6 2
Direct
0.670 0.960 0.040
0.177 0.781 0.219
0.189 0.425 0.901
0.690 0.312 0.364
0.170 0.040 0.960
0.690 0.636 0.688
0.190 0.688 0.636
0.189 0.099 0.575
0.689 0.575 0.099
0.677 0.219 0.781
0.190 0.364 0.312
0.689 0.901 0.425
0.981 0.717 0.917
0.398 0.398 0.602
0.481 0.917 0.717
0.981 0.083 0.283
0.898 0.602 0.398
0.481 0.283 0.083
0.021 0.197 0.803
0.521 0.803 0.197

---

GGA-PBE Sr2SbRh, relaxed; final energy = -4.347 eV per atom; energy relative to the elements, uncorrected = -0.638 eV/atom; density of states at the Fermi level = 0.498 states/eV per atom; M_tot = 0.00 μB per formula unit
1.0
-2.451 3.832 1.046
-1.497 0.293 -4.582
-5.106 -2.975 -1.068
Rh Sr Sb
1 2 1
Direct
0.000 0.682 0.511
0.000 0.981 0.914
0.500 0.267 0.341
0.500 0.570 0.735

---

GGA-PBE La2Nd2Sb2N, relaxed; final energy = -6.244 eV per atom; energy relative to the elements, uncorrected = -1.107 eV/atom; density of states at the Fermi level = 1.201 states/eV per atom; M_tot = 0.10 μB per formula unit
1.0
-3.325 -2.861 -2.164
2.803 -0.231 -4.001
4.108 -5.262 6.171
La Sb Nd N
2 2 2 1
Direct
0.163 0.163 0.326
0.837 0.837 0.674
0.361 0.361 0.721
0.639 0.639 0.279
0.000 0.500 0.000
0.500 0.000 0.000
0.000 0.000 0.000

---

GGA-PBE TaOsI3, relaxed; final energy = -3.956 eV per atom; energy relative to the elements, uncorrected = 1.590 eV/atom; density of states at the Fermi level = 1.207 states/eV per atom; M_tot = 2.50 μB per formula unit
1.0
-4.833 2.083 -0.742
-1.593 -4.517 -2.302
-1.533 -1.870 4.732
I Ta Os
3 1 1
Direct
0.500 0.000 0.000
0.000 0.500 0.000
0.000 0.000 0.500
0.500 0.500 0.500
0.000 0.000 0.000

---

GGA-PBE Ce2Nd3SmS6, relaxed; final energy = -6.676 eV per atom; energy relative to the elements, uncorrected = -2.038 eV/atom; density of states at the Fermi level = 1.070 states/eV per atom; M_tot = 1.55 μB per formula unit
1.0
-1.046 -5.807 -3.774
6.514 2.272 1.208
-1.589 -2.447 6.379
S Ce Nd Sm
6 2 3 1
Direct
0.251 0.251 0.755
0.749 0.749 0.245
0.918 0.585 0.754
0.415 0.082 0.246
0.585 0.918 0.754
0.082 0.415 0.246
0.334 0.666 0.000
0.666 0.334 0.000
0.835 0.165 0.500
0.165 0.835 0.500
0.500 0.500 0.500
0.000 0.000 0.000

---

GGA-PBE AlTl2SiSn, relaxed; final energy = -2.625 eV per atom; energy relative to the elements, uncorrected = 0.955 eV/atom; density of states at the Fermi level = 0.716 states/eV per atom; M_tot = 0.83 μB per formula unit
1.0
5.703 0.000 0.000
0.000 5.318 0.000
0.000 0.000 5.703
Sn Al Si Tl
1 1 1 2
Direct
0.000 0.000 0.000
0.000 0.500 0.000
0.500 0.500 0.500
0.000 0.000 0.500
0.500 0.000 0.000

---

GGA-PBE LaSm2TmSe4, relaxed; final energy = -5.910 eV per atom; energy relative to the elements, uncorrected = -1.813 eV/atom; density of states at the Fermi level = 0.599 states/eV per atom; M_tot = 0.00 μB per formula unit
1.0
-2.006 -3.569 0.401
2.311 -0.518 6.952
-6.265 3.512 -0.094
Sm Se La Tm
2 4 1 1
Direct
0.500 0.000 0.500
0.000 0.500 0.500
0.000 0.264 0.758
0.500 0.738 0.749
0.000 0.736 0.242
0.500 0.262 0.251
0.000 0.000 0.000
0.500 0.500 0.000

---

GGA-PBE MgIn2Tc, relaxed; final energy = -4.260 eV per atom; DFT formation energy = 0.099 eV per atom; density of states at the Fermi level = 0.371 states/eV per atom; M_tot = 0.91 μB per formula unit
1.0
5.191 -0.573 0.458
3.952 3.414 0.458
1.386 0.431 3.918
In Tc Mg
2 1 1
Direct
0.000 0.000 0.000
0.500 0.500 0.500
0.250 0.250 0.250
0.750 0.750 0.750

---

GGA-PBE HoTm2ScBi4, relaxed; final energy = -5.179 eV per atom; DFT formation energy = -0.757 eV per atom; density of states at the Fermi level = 0.173 states/eV per atom; M_tot = 0.00 μB per formula unit
1.0
4.404 0.000 0.000
0.000 7.621 0.132
0.000 -2.664 7.143
Ho Sc Bi Tm
1 1 4 2
Direct
0.000 0.000 0.000
0.500 0.500 0.000
0.000 0.742 0.243
0.500 0.255 0.248
0.000 0.258 0.757
0.500 0.745 0.752
0.500 0.000 0.500
0.000 0.500 0.500

---

GGA-PBE BC2, relaxed; final energy = -8.084 eV per atom; DFT formation energy = 0.291 eV per atom; M_tot = 0.00 μB per formula unit
1.0
4.345 0.067 -1.045
2.826 3.231 -1.007
0.336 0.218 5.277
C B
8 4
Direct
0.982 0.981 0.992
0.875 0.396 0.061
0.579 0.063 0.902
0.041 0.020 0.522
0.338 0.353 0.681
0.251 0.757 0.757
0.935 0.436 0.592
0.666 0.659 0.826
0.591 0.160 0.436
0.217 0.734 0.258
0.700 0.683 0.325
0.326 0.256 0.148

---

GGA-PBE Tl2BiPt2, relaxed; final energy = -4.021 eV per atom; DFT formation energy = 0.118 eV per atom; density of states at the Fermi level = 0.836 states/eV per atom; M_tot = 0.00 μB per formula unit
1.0
-3.449 1.507 -0.460
-0.963 -1.138 3.486
0.686 7.809 4.801
Pt Bi Tl
2 1 2
Direct
0.250 0.750 0.500
0.750 0.250 0.500
0.000 0.000 0.000
0.377 0.377 0.246
0.623 0.623 0.754

---

GGA-PBE HfTa3Nb4, relaxed; final energy = -10.706 eV per atom; DFT formation energy = 0.018 eV per atom; density of states at the Fermi level = 1.607 states/eV per atom; M_tot = 0.00 μB per formula unit
1.0
-1.494 4.468 0.091
-6.150 -2.019 -1.829
-2.375 -0.980 9.067
Hf Ta Nb
2 6 8
Direct
0.000 0.500 0.500
0.000 0.500 0.000
0.500 0.500 0.750
0.000 0.000 0.500
0.500 0.000 0.250
0.000 0.000 0.000
0.500 0.500 0.250
0.500 0.000 0.750
0.500 0.241 0.000
0.500 0.241 0.500
0.500 0.759 0.000
0.000 0.241 0.750
0.000 0.759 0.250
0.000 0.759 0.750
0.000 0.241 0.250
0.500 0.759 0.500

---

GGA-PBE Y2ErHg6, relaxed; final energy = -2.545 eV per atom; DFT formation energy = -0.400 eV per atom; density of states at the Fermi level = 0.448 states/eV per atom; M_tot = 0.00 μB per formula unit
1.0
5.389 0.170 0.576
0.730 8.942 2.281
0.282 -0.434 9.243
Hg Y Er
12 4 2
Direct
0.138 0.346 0.095
0.471 0.682 0.429
0.529 0.318 0.571
0.196 0.986 0.234
0.638 0.095 0.346
0.304 0.766 0.014
0.029 0.571 0.318
0.971 0.429 0.682
0.696 0.234 0.986
0.362 0.905 0.654
0.804 0.014 0.766
0.862 0.654 0.905
0.417 0.541 0.792
0.917 0.792 0.541
0.083 0.208 0.459
0.583 0.459 0.208
0.250 0.125 0.875
0.750 0.875 0.125

---

GGA-PBE Tb2Al5Au, relaxed; final energy = -4.370 eV per atom; DFT formation energy = -0.464 eV per atom; density of states at the Fermi level = 0.477 states/eV per atom; M_tot = 0.00 μB per formula unit
1.0
6.046 -0.004 -0.006
-2.981 5.261 0.006
-2.981 -1.784 4.949
Tb Al Au
2 5 1
Direct
0.500 0.278 0.778
0.500 0.778 0.278
0.500 0.778 0.778
0.000 0.778 0.278
0.500 0.278 0.278
0.000 0.277 0.277
0.000 0.278 0.778
0.000 0.778 0.778

---

GGA-PBE PrInNi2, relaxed; final energy = -5.164 eV per atom; DFT formation energy = -0.394 eV per atom; density of states at the Fermi level = 0.600 states/eV per atom; M_tot = 0.00 μB per formula unit
1.0
-1.734 3.635 -0.739
-1.274 0.421 5.061
6.275 3.260 1.309
Pr Ni In
2 4 2
Direct
0.000 0.750 0.724
0.000 0.250 0.276
0.000 0.750 0.106
0.000 0.250 0.894
0.500 0.000 0.000
0.500 0.500 0.000
0.500 0.250 0.658
0.500 0.750 0.342

---

GGA-PBE KY2Hg, relaxed; final energy = -3.231 eV per atom; DFT formation energy = 0.351 eV per atom; density of states at the Fermi level = 2.302 states/eV per atom; M_tot = 0.00 μB per formula unit
1.0
4.730 0.000 0.000
0.000 4.730 0.000
2.365 2.365 12.065
Y Hg K
4 2 2
Direct
0.375 0.354 0.750
0.104 0.625 0.250
0.646 0.125 0.250
0.875 0.896 0.750
0.000 0.000 0.000
0.750 0.250 0.500
0.500 0.500 0.000
0.250 0.750 0.500

---

GGA-PBE BeP2Cl, relaxed; final energy = -4.195 eV per atom; energy relative to the elements, uncorrected = -0.097 eV/atom; density of states at the Fermi level = 0.553 states/eV per atom; M_tot = 0.06 μB per formula unit
1.0
3.111 0.000 0.000
0.000 3.111 0.000
0.000 0.000 8.014
P Cl Be
2 1 1
Direct
0.500 0.500 0.141
0.000 0.000 0.244
0.500 0.500 0.608
0.000 0.000 0.507

---

GGA-PBE Ca2NiHgTe, relaxed; final energy = -2.305 eV per atom; energy relative to the elements, uncorrected = 0.340 eV/atom; density of states at the Fermi level = 1.123 states/eV per atom; M_tot = 0.00 μB per formula unit
1.0
5.819 0.000 0.000
0.000 5.537 0.000
0.000 0.000 5.819
Ca Te Hg Ni
2 1 1 1
Direct
0.000 0.000 0.500
0.500 0.000 0.000
0.000 0.000 0.000
0.000 0.500 0.000
0.500 0.500 0.500

---

GGA-PBE Pm5Y4Hg, relaxed; final energy = -5.068 eV per atom; DFT formation energy = -0.077 eV per atom; density of states at the Fermi level = 1.412 states/eV per atom; M_tot = 0.00 μB per formula unit
1.0
3.643 0.000 0.000
0.000 3.643 0.000
0.000 0.000 24.333
Pm Y Hg
5 4 1
Direct
0.500 0.500 0.293
0.500 0.500 0.916
0.500 0.500 0.500
0.500 0.500 0.084
0.500 0.500 0.707
0.000 0.000 0.811
0.000 0.000 0.396
0.000 0.000 0.189
0.000 0.000 0.604
0.000 0.000 0.000

---

GGA-PBE YAl2Ni, relaxed; final energy = -5.511 eV per atom; DFT formation energy = -0.578 eV per atom; density of states at the Fermi level = 0.625 states/eV per atom; M_tot = 0.00 μB per formula unit
1.0
3.947 0.000 0.000
0.000 4.222 0.000
-1.973 0.000 8.901
Y Al Ni
2 4 2
Direct
0.610 0.750 0.221
0.390 0.250 0.779
0.959 0.750 0.919
0.041 0.250 0.081
0.751 0.250 0.503
0.249 0.750 0.497
0.826 0.750 0.652
0.174 0.250 0.348

---

GGA-PBE ThTlNiRh, relaxed; final energy = -6.060 eV per atom; DFT formation energy = -0.330 eV per atom; density of states at the Fermi level = 0.741 states/eV per atom; M_tot = 0.00 μB per formula unit
1.0
4.839 0.000 0.000
2.419 4.191 0.000
2.419 1.397 3.951
Tl Ni Rh Th
1 1 1 1
Direct
0.500 0.500 0.500
0.250 0.250 0.250
0.750 0.750 0.750
0.000 0.000 0.000

---

GGA-PBE DyTm8In5, relaxed; final energy = -4.030 eV per atom; DFT formation energy = -0.168 eV per atom; density of states at the Fermi level = 0.978 states/eV per atom; M_tot = 0.00 μB per formula unit
1.0
-7.813 -1.630 -0.949
3.883 -6.774 1.909
1.030 5.368 5.893
In Tm Dy
5 8 1
Direct
0.022 0.385 0.145
0.855 0.877 0.240
0.760 0.615 0.638
0.500 0.000 0.500
0.362 0.123 0.978
0.648 0.397 0.883
0.281 0.230 0.364
0.117 0.766 0.514
0.486 0.603 0.251
0.749 0.234 0.352
0.636 0.916 0.865
0.949 0.084 0.719
0.135 0.770 0.051
0.250 0.500 0.750